Entry 1:
The following is a DFT calculation (PBE) of a relaxed FeSb2H crystal.

Cell lengths 6.312, 6.312, 5.651 Å; angles 56.05, 56.05, 90.00 degrees
Site moments in Bohr magnetons follow the coordinates.
Positions (direct):
Fe1 0.750 0.250 0.500  2.26
Fe2 0.000 0.000 0.000  2.27
Sb1 0.179 0.625 0.250  -0.04
Sb2 0.375 0.429 0.750  -0.03
Sb3 0.875 0.821 0.750  -0.04
Sb4 0.571 0.125 0.250  -0.03
H1 0.500 0.500 0.000  -0.01
H2 0.250 0.750 0.500  -0.01

Values from the calculation:
E above lowest polymorph	55	meV/atom
magnetic moment	4.31	Bohr magnetons per cell
symmetry	No. 122


Entry 2:
The following is a DFT calculation (PBE) of a relaxed UMnVC3 crystal.

Cell lengths 3.049, 5.288, 8.049 Å; angles 103.31, 90.00, 90.00 degrees
Positions (direct):
V1 0.750 0.236 0.940
V2 0.250 0.764 0.060
C1 0.750 0.237 0.515
C2 0.250 0.977 0.844
C3 0.250 0.427 0.837
C4 0.250 0.763 0.485
C5 0.750 0.573 0.163
C6 0.750 0.023 0.156
U1 0.250 0.345 0.300
U2 0.750 0.655 0.700
Mn1 0.250 0.125 0.629
Mn2 0.750 0.875 0.371

Values from the calculation:
energy of formation	-0.21	eV per atom
magnetic moment	0.09	Bohr magnetons per cell
symmetry	No. 11


- The highest magnetic moment belongs to which entry?
  FeSb2H